No. 1
ZrBeRh | Alexandria | PBE | optimized geometry; energy above the most stable polymorph in this dataset = 0.1612 eV per atom; total magnetization = 0.00 μB per formula unit; calculated volume = 14.734 Å³ per atom
1.0
5.305 -0.010 0.011
4.453 2.884 0.009
0.852 0.253 2.883
Be Rh Zr
1 1 1
Direct
0.968 0.968 0.032
0.367 0.367 0.633
0.665 0.665 0.335

***

No. 2
Pm3Ho4Cd | Alexandria | PBE | optimized geometry; final energy = -34.01 eV per cell; total magnetization = 0.00 μB per formula unit; calculated volume = 30.997 Å³ per atom
1.0
3.593 0.000 0.000
0.000 3.593 0.000
0.000 0.000 19.210
Cd Ho Pm
1 4 3
Direct
0.500 0.500 0.000
0.000 0.000 0.894
0.000 0.000 0.106
0.000 0.000 0.368
0.000 0.000 0.632
0.500 0.500 0.236
0.500 0.500 0.500
0.500 0.500 0.764

***

No. 3
Ho4In2Au | Alexandria | PBE | optimized geometry; final energy = -29.87 eV per cell; total magnetization = 0.00 μB per formula unit; calculated volume = 28.208 Å³ per atom
1.0
4.952 0.000 1.547
2.235 4.420 1.547
-0.089 -0.054 8.983
Au Ho In
1 4 2
Direct
0.000 0.000 0.000
0.876 0.876 0.371
0.124 0.124 0.629
0.625 0.625 0.124
0.375 0.375 0.876
0.754 0.754 0.739
0.246 0.246 0.261

***

No. 4
CaRe2Cl | Alexandria | PBE | optimized geometry; energy above the most stable polymorph in this dataset = 2.0489 eV per atom; ΔE_f (raw) = 739 kJ/mol of formula units; total magnetization = 0.00 μB per formula unit; calculated volume = 17.521 Å³ per atom
1.0
3.053 0.060 3.478
-0.674 2.799 3.623
-1.147 -1.778 4.116
Re Ca Cl
2 1 1
Direct
0.250 0.250 0.250
0.750 0.750 0.750
0.500 0.500 0.500
0.000 0.000 0.000

***

No. 5
Zr4CuOs | Alexandria | PBE | optimized geometry; energy above the most stable polymorph in this dataset = 0.0673 eV per atom; total magnetization = 0.00 μB per formula unit; calculated volume = 20.048 Å³ per atom
1.0
5.382 0.000 -2.603
0.000 7.207 0.000
-2.956 0.000 7.632
Zr Cu Os
8 2 2
Direct
0.227 0.643 0.227
0.273 0.143 0.773
0.499 0.250 0.249
0.001 0.750 0.751
0.773 0.357 0.773
0.727 0.857 0.227
0.501 0.750 0.751
0.999 0.250 0.249
0.500 0.000 0.500
0.000 0.500 0.500
0.000 0.000 0.000
0.500 0.500 0.000

***

No. 6
ReTcP2 | Alexandria | PBE | optimized geometry; energy above the most stable polymorph in this dataset = 0.5490 eV per atom; total magnetization = 0.00 μB per formula unit; calculated volume = 14.209 Å³ per atom
1.0
2.927 0.002 0.000
-1.454 2.541 0.000
0.000 0.000 7.640
P Re Tc
2 1 1
Direct
0.000 0.000 0.998
0.000 0.000 0.502
0.500 0.500 0.250
0.500 0.500 0.750

***

No. 7
UPtS4 | Alexandria | PBE | optimized geometry; energy above the most stable polymorph in this dataset = 0.1304 eV per atom; ΔE_f (raw) = -401 kJ/mol of formula units; total magnetization = 1.45 μB per formula unit; calculated volume = 20.462 Å³ per atom
1.0
-3.748 -2.450 4.393
4.535 -3.774 1.765
2.592 4.743 3.481
U Pt S
2 2 8
Direct
0.000 0.000 0.000
0.500 0.500 0.000
0.500 0.000 0.500
0.000 0.500 0.500
0.866 0.673 0.187
0.634 0.173 0.813
0.259 0.283 0.312
0.241 0.783 0.688
0.134 0.327 0.813
0.366 0.827 0.187
0.741 0.717 0.688
0.759 0.217 0.312

***

No. 8
Pm2TmZn12Cu3 | Alexandria | PBE | optimized geometry; final energy = -41.86 eV per cell; total magnetization = 0.00 μB per formula unit; calculated volume = 18.970 Å³ per atom
1.0
-9.012 4.421 0.991
-8.781 -0.748 4.906
-5.876 4.782 6.660
Pm Tm Zn Cu
2 1 12 3
Direct
0.643 0.643 0.643
0.357 0.357 0.357
0.000 0.000 0.000
0.321 0.321 0.720
0.876 0.876 0.465
0.465 0.876 0.876
0.720 0.321 0.321
0.876 0.465 0.876
0.321 0.720 0.321
0.679 0.679 0.280
0.124 0.124 0.535
0.535 0.124 0.124
0.280 0.679 0.679
0.124 0.535 0.124
0.679 0.280 0.679
0.500 0.000 0.000
0.000 0.500 0.000
0.000 0.000 0.500

***

No. 9
Ac2Nd3SmY6 | Alexandria | PBE | optimized geometry; final energy = -65.73 eV per cell; total magnetization = 0.00 μB per formula unit; calculated volume = 34.813 Å³ per atom
1.0
6.391 0.000 0.008
-3.194 5.536 0.008
-1.077 -1.865 11.803
Ac Nd Sm Y
2 3 1 6
Direct
0.333 0.667 0.000
0.667 0.333 0.000
0.167 0.833 0.500
0.833 0.167 0.500
0.500 0.500 0.500
0.000 0.000 0.000
0.916 0.584 0.746
0.753 0.753 0.254
0.084 0.416 0.254
0.584 0.916 0.746
0.247 0.247 0.746
0.416 0.084 0.254

***

No. 10
Dy2ZnGe4Pd3 | Alexandria | PBE | optimized geometry; final energy = -51.54 eV per cell; total magnetization = 0.00 μB per formula unit; calculated volume = 18.610 Å³ per atom
1.0
-3.096 -1.083 -2.499
-1.840 -1.957 3.128
-5.328 9.193 2.618
Dy Zn Ge Pd
2 1 4 3
Direct
0.500 0.000 0.258
0.000 0.500 0.742
0.500 0.500 0.500
0.500 0.500 0.000
0.000 0.000 0.000
0.500 0.000 0.640
0.000 0.500 0.360
0.000 0.000 0.500
0.500 0.000 0.863
0.000 0.500 0.137

***

No. 11
La8Er3Mg | Alexandria | PBE | optimized geometry; final energy = -49.06 eV per cell; total magnetization = 0.00 μB per formula unit; calculated volume = 37.456 Å³ per atom
1.0
-1.648 -7.848 2.968
7.128 3.967 2.563
-4.911 6.504 2.587
La Er Mg
8 3 1
Direct
0.488 0.213 0.213
0.512 0.725 0.725
0.000 0.787 0.275
0.000 0.275 0.787
0.272 0.380 0.380
0.728 0.108 0.108
0.000 0.620 0.892
0.000 0.892 0.620
0.500 0.750 0.250
0.500 0.250 0.750
0.000 0.500 0.500
0.000 0.000 0.000

***

No. 12
Ac6Sm4Y | Alexandria | PBE | optimized geometry; final energy = -46.49 eV per cell; total magnetization = 0.00 μB per formula unit; calculated volume = 43.220 Å³ per atom
1.0
-8.907 4.788 -5.164
9.781 -5.559 -1.534
3.908 -9.393 5.042
Ac Sm Y
6 4 1
Direct
0.000 0.888 0.491
0.000 0.491 0.888
0.397 0.509 0.509
0.500 0.500 0.000
0.603 0.112 0.112
0.500 0.000 0.500
0.000 0.675 0.055
0.380 0.325 0.325
0.000 0.055 0.675
0.620 0.945 0.945
0.000 0.000 0.000

***

No. 13
Nd2TiSi4Ir3 | Alexandria | PBE | optimized geometry; ΔE_f (raw) = -893 kJ/mol of formula units; total magnetization = 0.00 μB per formula unit; calculated volume = 17.928 Å³ per atom
1.0
4.157 0.000 0.000
0.000 4.157 0.000
0.000 0.000 10.372
Nd Ti Si Ir
2 1 4 3
Direct
0.500 0.000 0.242
0.000 0.500 0.758
0.500 0.500 0.500
0.500 0.500 0.000
0.000 0.000 0.000
0.500 0.000 0.643
0.000 0.500 0.357
0.000 0.000 0.500
0.500 0.000 0.880
0.000 0.500 0.120

***

No. 14
Zn2RePt | Alexandria | PBE | optimized geometry; energy above the most stable polymorph in this dataset = 0.0465 eV per atom; total magnetization = 0.00 μB per formula unit; calculated volume = 14.631 Å³ per atom
1.0
-0.982 -2.519 0.341
2.301 -0.725 1.266
-3.123 2.152 6.908
Pt Re Zn
1 1 2
Direct
0.500 0.500 0.250
0.500 0.500 0.750
0.000 0.000 0.008
0.000 0.000 0.492

***

No. 15
Ho5CdPb4 | Alexandria | PBE | optimized geometry; final energy = -41.48 eV per cell; total magnetization = 0.00 μB per formula unit; calculated volume = 30.048 Å³ per atom
1.0
6.325 0.000 0.000
3.162 6.892 0.000
3.162 0.000 6.892
Ho Cd Pb
5 1 4
Direct
0.872 0.406 0.781
0.278 0.781 0.594
0.653 0.219 0.406
0.059 0.594 0.219
0.648 0.000 0.000
0.149 0.000 0.000
0.359 0.387 0.821
0.745 0.821 0.613
0.180 0.179 0.387
0.566 0.613 0.179

***

No. 16
Cs2SrCaI6 | Alexandria | PBE | optimized geometry; ΔE_f (raw) = -1553 kJ/mol of formula units; total magnetization = 0.00 μB per formula unit; calculated volume = 51.038 Å³ per atom
1.0
-3.513 -7.654 3.088
5.887 0.028 6.768
-2.904 -0.506 8.472
Cs I Ca Sr
2 6 1 1
Direct
0.750 0.250 0.500
0.250 0.750 0.500
0.255 0.255 0.490
0.745 0.745 0.510
0.255 0.255 0.000
0.745 0.745 0.000
0.745 0.255 0.000
0.255 0.745 0.000
0.500 0.500 0.000
0.000 0.000 0.000

***

No. 17
MgZrBi2Te | Alexandria | PBE | optimized geometry; energy above the most stable polymorph in this dataset = 0.0000 eV per atom; ΔE_f (raw) = 80 kJ/mol of formula units; total magnetization = 0.00 μB per formula unit; calculated volume = 36.438 Å³ per atom
1.0
5.745 0.000 0.000
0.000 5.519 0.000
0.000 0.000 5.745
Mg Te Bi Zr
1 1 2 1
Direct
0.500 0.500 0.500
0.000 0.500 0.000
0.000 0.000 0.500
0.500 0.000 0.000
0.000 0.000 0.000

***

No. 18
TlCoIN2 | Alexandria | PBE | optimized geometry; energy above the most stable polymorph in this dataset = 0.8266 eV per atom; ΔE_f (raw) = 1031 kJ/mol of formula units; total magnetization = 0.97 μB per formula unit; calculated volume = 25.288 Å³ per atom
1.0
4.188 0.000 0.000
0.000 4.188 0.000
0.000 0.000 7.207
I Tl Co N
1 1 1 2
Direct
0.000 0.000 0.500
0.000 0.000 0.000
0.500 0.500 0.500
0.000 0.500 0.000
0.500 0.000 0.000

***

No. 19
CaMgTa2 | Alexandria | PBE | optimized geometry; final energy = -24.85 eV per cell; total magnetization = 0.00 μB per formula unit; calculated volume = 21.097 Å³ per atom
1.0
-1.684 -1.083 -2.108
2.361 -0.540 -1.608
0.712 -9.079 4.096
Ca Mg Ta
1 1 2
Direct
0.500 0.500 0.250
0.500 0.500 0.750
0.000 0.000 0.974
0.000 0.000 0.526

***

No. 20
Rb2Tl3Cd6 | Alexandria | PBE | optimized geometry; final energy = -14.74 eV per cell; total magnetization = 0.00 μB per formula unit; calculated volume = 32.013 Å³ per atom
1.0
-1.218 4.270 -2.321
6.983 -1.049 -5.595
-8.042 -3.454 -2.136
Rb Tl Cd
2 3 6
Direct
0.000 0.667 0.333
0.000 0.333 0.667
0.500 0.598 0.000
0.500 0.000 0.598
0.500 0.402 0.402
0.500 0.248 0.000
0.500 0.752 0.752
0.000 0.807 0.000
0.000 0.000 0.807
0.500 0.000 0.248
0.000 0.193 0.193